A relaxed structure of CdSb3, computed with GGA-PBE.

Cell lengths 4.769, 4.769, 4.769 Å; angles 90.00, 90.00, 90.00 degrees
Atoms (fractional coordinates):
Sb (0.500, 0.000, 0.500)
Sb (0.000, 0.500, 0.500)
Sb (0.500, 0.500, 0.000)
Cd (0.000, 0.000, 0.000)

E_form (uncorrected)   0.22 eV/atom
SG   Pm-3m, No. 221
E above lowest polymorph   16.1 kJ/mol of atoms

---

A relaxed structure of CdSb4, computed with GGA-PBE.

Cell lengths 5.901, 5.901, 5.901 Å; angles 109.47, 109.47, 109.47 degrees
Atoms (fractional coordinates):
Sb (0.500, 0.500, 0.500)
Sb (0.000, 0.000, 0.500)
Sb (0.500, 0.000, 0.000)
Sb (0.000, 0.500, 0.000)
Cd (0.000, 0.000, 0.000)

E_form (uncorrected)   0.31 eV/atom
SG   Im-3m, No. 229
E above lowest polymorph   9.3 kJ/mol of atoms